Record 1
Compound: TlPd7Au3
Source: the Alexandria database
Functional: GGA-PBE
Structure: optimized geometry

a = 5.1975 Å, b = 7.0965 Å, c = 7.0965 Å
α = 83.63°, β = 117.57°, γ = 117.57°
Last column: nearest neighbours and their distance in Å.
Positions (direct):
Pd 0.6245 0.7897 0.7897  3 Au 2.68-2.75, 1 Tl 2.71, 5 Pd 2.75-2.92
Pd 0.6712 0.4155 0.9305  3 Au 2.72-2.77, 4 Pd 2.73-2.92, 1 Tl 2.84
Pd 0.3288 0.0695 0.5845  3 Au 2.72-2.77, 4 Pd 2.73-2.92, 1 Tl 2.84
Pd 0.0000 0.5000 0.5000  2 Tl 2.60, 2 Au 2.69, 2 Pd 2.75
Pd 0.3755 0.2103 0.2103  3 Au 2.68-2.75, 1 Tl 2.71, 5 Pd 2.75-2.92
Pd 0.6712 0.9305 0.4155  3 Au 2.72-2.77, 4 Pd 2.73-2.92, 1 Tl 2.84
Pd 0.3288 0.5845 0.0695  3 Au 2.72-2.77, 4 Pd 2.73-2.92, 1 Tl 2.84
Au 0.0000 0.7842 0.2158  7 Pd 2.69-2.77
Au 0.5000 0.0000 0.0000  6 Pd 2.68-2.72
Au 0.0000 0.2158 0.7842  7 Pd 2.69-2.77
Tl 0.5000 0.5000 0.5000  8 Pd 2.60-2.84

Calculated values
V (Å³ per cell): 204
E_tot (eV per formula unit): -47.2
Density of states at the Fermi level (states/eV per cell): 10.6
Energy relative to the elements (eV/atom): 0.125
Total magnetization (μB per formula unit): 0.0
Symmetry: C2/m

=====

Record 2
Compound: Np2Ni3P4Pd
Source: the Alexandria database
Functional: GGA-PBE
Structure: optimized geometry

a = 4.0541 Å, b = 4.0541 Å, c = 9.1625 Å
α = 90.00°, β = 90.00°, γ = 90.00°
Last column: nearest neighbours and their distance in Å.
Positions (direct):
Ni 0.0000 0.0000 0.5000  4 P 2.43
Ni 0.0000 0.5000 0.1100  5 P 2.24-2.26
Ni 0.5000 0.0000 0.8900  5 P 2.24-2.26
P 0.5000 0.5000 0.0000  4 Ni 2.26
P 0.5000 0.0000 0.6456  3 Ni 2.24-2.43, 2 Pd 2.43
P 0.0000 0.0000 0.0000  4 Ni 2.26
P 0.0000 0.5000 0.3544  3 Ni 2.24-2.43, 2 Pd 2.43
Np 0.5000 0.0000 0.2380  8 P 2.98-3.06, 7 Ni 3.10-3.19, 2 Pd 3.14
Np 0.0000 0.5000 0.7620  8 P 2.98-3.06, 7 Ni 3.10-3.19, 2 Pd 3.14
Pd 0.5000 0.5000 0.5000  4 P 2.43

Calculated values
V (Å³ per cell): 151
E_tot (eV per formula unit): -77.0
Density of states at the Fermi level (states/eV per cell): 19.8
Energy relative to the elements (eV/atom): -0.695
Total magnetization (μB per formula unit): 7.7
Symmetry: P-4m2

=====

Record 3
Compound: Cs2SeO5
Source: the Alexandria database
Functional: GGA-PBE
Structure: optimized geometry

a = 6.5529 Å, b = 6.5529 Å, c = 6.5529 Å
α = 91.81°, β = 118.96°, γ = 118.96°
Last column: nearest neighbours and their distance in Å.
Positions (direct):
O 0.0000 0.1670 0.8050  1 Se 1.77
O 0.0000 0.8050 0.1670  1 Se 1.77
O 0.3620 0.1670 0.1670  1 Se 1.77
O 0.0000 0.2233 0.2233  1 Se 1.68
O 0.6380 0.8050 0.8050  1 Se 1.77
Se 0.0000 0.0392 0.0392  5 O 1.68-1.77
Cs 0.5000 0.7579 0.2579  10 O 3.21-3.48
Cs 0.5000 0.2579 0.7579  10 O 3.21-3.48

Calculated values
V (Å³ per cell): 202
E_tot (eV per formula unit): -36.8
Density of states at the Fermi level (states/eV per cell): 9.3
Energy relative to the elements, uncorrected (eV per atom): -0.86
Total magnetization (μB per formula unit): 2.1
Symmetry: I4mm

=====

Record 4
Compound: DyThN
Source: the Alexandria database
Functional: GGA-PBE
Structure: optimized geometry

a = 4.3917 Å, b = 4.3917 Å, c = 4.3917 Å
α = 60.00°, β = 60.00°, γ = 60.00°
Last column: nearest neighbours and their distance in Å.
Positions (direct):
Th 0.5000 0.5000 0.5000  4 N 2.69
N 0.2500 0.2500 0.2500  4 Th 2.69, 4 Dy 2.69
Dy 0.0000 0.0000 0.0000  4 N 2.69

Calculated values
V (Å³ per cell): 60
E_tot (eV per formula unit): -20.7
Density of states at the Fermi level (states/eV per cell): 3.1
Energy above the lowest structure with this stoichiometry (meV/atom): 785
Energy relative to the elements, uncorrected (eV per atom): -0.13
Total magnetization (μB per formula unit): 0.0
Symmetry: F-43m

=====

Record 5
Compound: Tb4PdRh2
Source: the Alexandria database
Functional: GGA-PBE
Structure: optimized geometry

a = 7.5167 Å, b = 7.5165 Å, c = 7.5168 Å
α = 109.29°, β = 109.29°, γ = 109.84°
Last column: nearest neighbours and their distance in Å.
Positions (direct):
Pd 0.2506 0.7505 0.5001  4 Tb 2.84
Pd 0.9998 0.9997 0.0000  4 Tb 2.84
Rh 0.1252 0.5041 0.8792  4 Tb 2.76-2.80
Rh 0.6248 0.2460 0.1207  4 Tb 2.76-2.80
Rh 0.4969 0.3748 0.6218  4 Tb 2.76-2.80
Rh 0.7530 0.8752 0.3782  4 Tb 2.76-2.80
Tb 0.3808 0.5053 0.2486  2 Rh 2.76-2.80, 1 Pd 2.84
Tb 0.2566 0.1322 0.7513  2 Rh 2.76-2.80, 1 Pd 2.84
Tb 0.7556 0.1309 0.7487  2 Rh 2.76-2.80, 1 Pd 2.84
Tb 0.8695 0.6177 0.6250  2 Rh 2.76-2.80, 1 Pd 2.84
Tb 0.3823 0.0069 0.2513  2 Rh 2.76-2.80, 1 Pd 2.84
Tb 0.4943 0.7425 0.8748  2 Rh 2.76-2.80, 1 Pd 2.84
Tb 0.8678 0.6196 0.1253  2 Rh 2.76-2.80, 1 Pd 2.84
Tb 0.9928 0.2446 0.3750  2 Rh 2.76-2.80, 1 Pd 2.84

Calculated values
V (Å³ per cell): 327
E_tot (eV per formula unit): -43.8
Density of states at the Fermi level (states/eV per cell): 3.3
Energy above the lowest structure with this stoichiometry (meV/atom): 0
Energy relative to the elements (eV/atom): -0.766
Total magnetization (μB per formula unit): 0.0
Symmetry: I2_12_12_1

=====

Record 6
Compound: LiAlGePt
Source: the Alexandria database
Functional: GGA-PBE
Structure: optimized geometry

a = 4.3674 Å, b = 4.3674 Å, c = 4.3674 Å
α = 60.00°, β = 60.00°, γ = 60.00°
Last column: nearest neighbours and their distance in Å.
Positions (direct):
Li 0.0000 0.0000 0.0000  4 Ge 2.67, 4 Al 2.67
Ge 0.2500 0.2500 0.2500  4 Li 2.67, 4 Pt 2.67
Pt 0.5000 0.5000 0.5000  4 Ge 2.67, 4 Al 2.67
Al 0.7500 0.7500 0.7500  4 Li 2.67, 4 Pt 2.67

Calculated values
V (Å³ per cell): 59
E_tot (eV per formula unit): -18.5
Density of states at the Fermi level (states/eV per cell): 0.7
Energy relative to the elements (eV/atom): -0.555
Total magnetization (μB per formula unit): 0.0
Symmetry: F-43m